1.
Material: In2FeBr
Method: DFT, PBE
State: relaxed

## Properties
- Total moment: 3.2 μB per cell
- Space-group type: Pmmm, No. 47
- Formation energy (no corrections): 0.386 eV per atom
- Fermi-level density of states: 3.232 states/eV per cell

Cell lengths 3.2753, 5.6454, 5.1884 Å; angles 90.00, 90.00, 90.00 degrees
Last column: magnetic moment on the atom in μB.
Fractional positions:
In1 0.5000 0.5000 0.0000  -0.05
In2 0.0000 0.0000 0.0000  0.00
Br1 0.5000 0.0000 0.5000  0.06
Fe1 0.0000 0.5000 0.5000  3.13


2.
Material: InFeBr2
Method: DFT, PBE
State: relaxed

## Properties
- Total moment: 3.4 μB per cell
- Space-group type: I-4m2, No. 119
- Formation energy (no corrections): 0.253 eV per atom
- Fermi-level density of states: 3.621 states/eV per cell

Cell lengths 7.2023, 7.2023, 7.2023 Å; angles 146.17, 146.17, 48.59 degrees
Last column: magnetic moment on the atom in μB.
Fractional positions:
In1 0.7500 0.2500 0.5000  0.00
Br1 0.0000 0.0000 0.0000  0.02
Br2 0.2500 0.7500 0.5000  0.01
Fe1 0.5000 0.5000 0.0000  3.14


3.
Material: In2FeBr
Method: DFT, PBE
State: relaxed

## Properties
- Total moment: 3.1 μB per cell
- Space-group type: I4/mmm, No. 139
- Formation energy (no corrections): 0.414 eV per atom
- Fermi-level density of states: 2.929 states/eV per cell

Cell lengths 5.7555, 5.7555, 5.7555 Å; angles 134.65, 134.65, 66.07 degrees
Last column: magnetic moment on the atom in μB.
Fractional positions:
Fe1 0.7500 0.2500 0.5000  3.06
In1 0.0000 0.0000 0.0000  -0.01
In2 0.5000 0.5000 0.0000  -0.01
Br1 0.2500 0.7500 0.5000  0.04


4.
Material: In2FeBr
Method: DFT, PBE
State: relaxed

## Properties
- Total moment: 3.2 μB per cell
- Space-group type: Cmm2, No. 35
- Formation energy (no corrections): 0.153 eV per atom
- Fermi-level density of states: 1.156 states/eV per cell

Cell lengths 3.2340, 3.2340, 9.7965 Å; angles 90.00, 90.00, 103.32 degrees
Last column: magnetic moment on the atom in μB.
Fractional positions:
In1 0.0000 0.0000 0.9496  -0.01
In2 0.5000 0.5000 0.2200  0.01
Br1 0.0000 0.0000 0.5862  0.14
Fe1 0.5000 0.5000 0.7442  3.03


5.
Material: In2FeBr
Method: DFT, PBE
State: relaxed

## Properties
- Total moment: 3.2 μB per cell
- Space-group type: I-4m2, No. 119
- Formation energy (no corrections): 0.419 eV per atom
- Fermi-level density of states: 2.185 states/eV per cell

Cell lengths 6.3607, 6.3607, 6.3607 Å; angles 140.93, 140.93, 56.45 degrees
Last column: magnetic moment on the atom in μB.
Fractional positions:
In1 0.2500 0.7500 0.5000  -0.04
In2 0.0000 0.0000 0.0000  0.00
Br1 0.5000 0.5000 0.0000  0.04
Fe1 0.7500 0.2500 0.5000  3.10


6.
Material: InFeBr2
Method: DFT, PBE
State: relaxed

## Properties
- Total moment: 3.3 μB per cell
- Space-group type: P4/mmm, No. 123
- Formation energy (no corrections): 0.213 eV per atom
- Fermi-level density of states: 2.947 states/eV per cell

Cell lengths 5.3143, 5.3143, 3.6150 Å; angles 90.00, 90.00, 90.00 degrees
Last column: magnetic moment on the atom in μB.
Fractional positions:
Br1 0.5000 0.5000 0.0000  0.02
Br2 0.0000 0.0000 0.0000  0.02
Fe1 0.5000 0.0000 0.5000  3.09
In1 0.0000 0.5000 0.5000  -0.01


7.
Material: InFeBr2
Method: DFT, PBE
State: relaxed

## Properties
- Total moment: 3.5 μB per cell
- Space-group type: Cmmm, No. 65
- Formation energy (no corrections): -0.092 eV per atom
- Fermi-level density of states: 2.350 states/eV per cell

Cell lengths 3.8557, 3.8557, 9.6345 Å; angles 90.00, 90.00, 125.94 degrees
Last column: magnetic moment on the atom in μB.
Fractional positions:
Br1 0.0000 0.0000 0.0633  0.08
Br2 0.0000 0.0000 0.4367  0.08
Fe1 0.5000 0.5000 0.2500  3.21
In1 0.5000 0.5000 0.7500  -0.01


8.
Material: In2FeBr8
Method: DFT, PBE
State: relaxed

## Properties
- Total moment: 4.0 μB per cell
- Space-group type: C2/m, No. 12
- Formation energy (no corrections): -0.662 eV per atom
- Fermi-level density of states: 3.530 states/eV per cell

Cell lengths 6.6302, 8.2739, 8.2739 Å; angles 76.46, 95.42, 95.42 degrees
Last column: magnetic moment on the atom in μB.
Fractional positions:
Br1 0.2357 0.6192 0.6192  0.00
Br2 0.7509 0.8214 0.8214  0.05
Br3 0.2141 0.7383 0.0987  0.06
Br4 0.7643 0.3808 0.3808  0.00
Br5 0.2141 0.0987 0.7383  0.06
Br6 0.2491 0.1786 0.1786  0.05
Br7 0.7859 0.2617 0.9013  0.06
Br8 0.7859 0.9013 0.2617  0.06
In1 0.3579 0.8076 0.8076  -0.01
In2 0.6421 0.1924 0.1924  -0.01
Fe1 0.0000 0.0000 0.0000  3.46


9.
Material: InFeBr2
Method: DFT, PBE
State: relaxed

## Properties
- Total moment: 3.3 μB per cell
- Space-group type: Cmm2, No. 35
- Formation energy (no corrections): -0.052 eV per atom
- Fermi-level density of states: 2.830 states/eV per cell

Cell lengths 3.6215, 3.6215, 9.4648 Å; angles 90.00, 90.00, 117.71 degrees
Last column: magnetic moment on the atom in μB.
Fractional positions:
In1 0.5000 0.5000 0.7238  -0.02
Br1 0.0000 0.0000 0.9409  0.00
Br2 0.5000 0.5000 0.3334  0.12
Fe1 0.0000 0.0000 0.5019  3.11


10.
Material: InFe2Br
Method: DFT, PBE
State: relaxed

## Properties
- Total moment: 5.8 μB per cell
- Space-group type: Cmmm, No. 65
- Formation energy (no corrections): 0.569 eV per atom
- Fermi-level density of states: 2.776 states/eV per cell

Cell lengths 3.2565, 3.2565, 8.6301 Å; angles 90.00, 90.00, 123.96 degrees
Last column: magnetic moment on the atom in μB.
Fractional positions:
Br1 0.5000 0.5000 0.7500  0.12
Fe1 0.0000 0.0000 0.9892  2.88
Fe2 0.0000 0.0000 0.5108  2.88
In1 0.5000 0.5000 0.2500  -0.07


11.
Material: InFe2Br
Method: DFT, PBE
State: relaxed

## Properties
- Total moment: 5.6 μB per cell
- Space-group type: Immm, No. 71
- Formation energy (no corrections): 0.596 eV per atom
- Fermi-level density of states: 3.517 states/eV per cell

Cell lengths 5.4433, 5.4433, 5.4433 Å; angles 147.69, 118.59, 71.11 degrees
Last column: magnetic moment on the atom in μB.
Fractional positions:
Fe1 0.4885 0.4885 0.0000  2.82
Fe2 0.0115 0.0115 0.0000  2.82
In1 0.7500 0.2500 0.5000  -0.08
Br1 0.2500 0.7500 0.5000  0.07


12.
Material: In2FeBr
Method: DFT, PBE
State: relaxed

## Properties
- Total moment: 2.7 μB per cell
- Space-group type: C2/m, No. 12
- Formation energy (no corrections): 0.265 eV per atom
- Fermi-level density of states: 3.712 states/eV per cell

Cell lengths 7.2383, 7.2383, 4.5731 Å; angles 71.53, 71.53, 25.00 degrees
Last column: magnetic moment on the atom in μB.
Fractional positions:
Br1 0.7500 0.7500 0.7500  0.04
In1 0.5673 0.5673 0.4321  -0.04
In2 0.9327 0.9327 0.0679  -0.04
Fe1 0.2500 0.2500 0.2500  2.80


13.
Material: InFeBr2
Method: DFT, PBE
State: relaxed

## Properties
- Total moment: 3.4 μB per cell
- Space-group type: R-3m, No. 166
- Formation energy (no corrections): -0.196 eV per atom
- Fermi-level density of states: 3.747 states/eV per cell

Cell lengths 9.4236, 9.4236, 9.4236 Å; angles 22.24, 22.24, 22.24 degrees
Last column: magnetic moment on the atom in μB.
Fractional positions:
Fe1 0.2500 0.2500 0.2500  3.25
Br1 0.5267 0.5267 0.5267  0.10
Br2 0.9733 0.9733 0.9733  0.10
In1 0.7500 0.7500 0.7500  -0.08


14.
Material: InFeBr2
Method: DFT, PBE
State: relaxed

## Properties
- Total moment: 0.2 μB per cell
- Space-group type: R-3m, No. 166
- Formation energy (no corrections): 0.025 eV per atom
- Fermi-level density of states: 2.854 states/eV per cell

Cell lengths 9.5337, 9.5337, 9.5337 Å; angles 21.56, 21.56, 21.56 degrees
Last column: magnetic moment on the atom in μB.
Fractional positions:
Br1 0.1193 0.1193 0.1193  0.00
Br2 0.8807 0.8807 0.8807  0.00
In1 0.0000 0.0000 0.0000  0.01
Fe1 0.5000 0.5000 0.5000  0.20


15.
Material: InFe2Br
Method: DFT, PBE
State: relaxed

## Properties
- Total moment: 12.0 μB per cell
- Space-group type: I-42d, No. 122
- Formation energy (no corrections): 0.704 eV per atom
- Fermi-level density of states: 9.422 states/eV per cell

Cell lengths 7.1344, 7.1344, 5.8980 Å; angles 52.78, 52.78, 90.00 degrees
Last column: magnetic moment on the atom in μB.
Fractional positions:
Fe1 0.3750 0.4052 0.7500  2.92
Fe2 0.8750 0.8448 0.7500  2.92
Fe3 0.5948 0.1250 0.2500  2.92
Fe4 0.1552 0.6250 0.2500  2.92
Br1 0.5000 0.5000 0.0000  0.10
Br2 0.2500 0.7500 0.5000  0.10
In1 0.7500 0.2500 0.5000  -0.05
In2 0.0000 0.0000 0.0000  -0.05


16.
Material: InFeIr2Br
Method: DFT, PBE
State: relaxed

## Properties
- Total moment: 0.0 μB per cell
- Space-group type: P4/mmm, No. 123
- Formation energy (no corrections): 1.100 eV per atom
- Fermi-level density of states: 7.660 states/eV per cell

Cell lengths 4.5029, 5.0674, 4.5029 Å; angles 90.00, 90.00, 90.00 degrees
Fractional positions:
Ir1 0.0000 0.0000 0.5000
Ir2 0.5000 0.0000 0.0000
Fe1 0.0000 0.0000 0.0000
Br1 0.5000 0.5000 0.5000
In1 0.0000 0.5000 0.0000


17.
Material: MnIn2FeBr
Method: DFT, PBE
State: relaxed

## Properties
- Total moment: 6.5 μB per cell
- Space-group type: P4/mmm, No. 123
- Formation energy (no corrections): 0.794 eV per atom
- Fermi-level density of states: 5.629 states/eV per cell

Cell lengths 5.2486, 4.8607, 5.2486 Å; angles 90.00, 90.00, 90.00 degrees
Last column: magnetic moment on the atom in μB.
Fractional positions:
In1 0.0000 0.0000 0.5000  -0.06
In2 0.5000 0.0000 0.0000  -0.10
Fe1 0.5000 0.5000 0.5000  3.31
Mn1 0.0000 0.0000 0.0000  3.07
Br1 0.0000 0.5000 0.0000  0.07


18.
Material: NaInFeBr2
Method: DFT, PBE
State: relaxed

## Properties
- Total moment: 3.4 μB per cell
- Space-group type: P4/mmm, No. 123
- Formation energy (no corrections): 0.021 eV per atom
- Fermi-level density of states: 5.012 states/eV per cell

Cell lengths 4.9907, 5.9335, 4.9907 Å; angles 90.00, 90.00, 90.00 degrees
Last column: magnetic moment on the atom in μB.
Fractional positions:
Br1 0.0000 0.0000 0.5000  0.09
Br2 0.5000 0.0000 0.0000  0.08
Fe1 0.0000 0.0000 0.0000  2.92
In1 0.5000 0.5000 0.5000  0.06
Na1 0.0000 0.5000 0.0000  -0.01


19.
Material: NaInFeBr4
Method: DFT, PBE
State: relaxed

## Properties
- Total moment: 8.0 μB per cell
- Space-group type: P2_1/m, No. 11
- Formation energy (no corrections): -0.783 eV per atom
- Fermi-level density of states: 13.028 states/eV per cell

Cell lengths 7.1847, 7.5484, 8.7822 Å; angles 90.00, 106.96, 90.00 degrees
Last column: magnetic moment on the atom in μB.
Fractional positions:
Br1 0.4489 0.7500 0.5911  0.07
Br2 0.9907 0.0005 0.7280  0.07
Br3 0.0093 0.9995 0.2720  0.07
Br4 0.0093 0.5005 0.2720  0.07
Br5 0.9907 0.4995 0.7280  0.07
Br6 0.5511 0.2500 0.4089  0.07
Br7 0.5659 0.2500 0.8624  0.08
Br8 0.4341 0.7500 0.1376  0.08
Fe1 0.2372 0.7500 0.3198  3.34
Fe2 0.7628 0.2500 0.6802  3.34
Na1 0.7747 0.7500 0.4419  0.00
Na2 0.2253 0.2500 0.5581  0.00
In1 0.7603 0.7500 0.9356  0.01
In2 0.2397 0.2500 0.0644  0.01


20.
Material: RbInFe2Br6
Method: DFT, PBE
State: relaxed

## Properties
- Total moment: 16.0 μB per cell
- Space-group type: C2/c, No. 15
- Formation energy (no corrections): -0.722 eV per atom
- Fermi-level density of states: 21.025 states/eV per cell

Cell lengths 10.0196, 10.0196, 7.6710 Å; angles 100.35, 100.35, 85.87 degrees
Last column: magnetic moment on the atom in μB.
Fractional positions:
Br1 0.6086 0.0969 0.3403  0.09
Br2 0.0969 0.6086 0.8403  0.09
Br3 0.4694 0.2891 0.8298  0.09
Br4 0.1742 0.1101 0.0087  0.11
Br5 0.9031 0.3914 0.1597  0.09
Br6 0.7109 0.5306 0.6702  0.09
Br7 0.2891 0.4694 0.3298  0.09
Br8 0.1101 0.1742 0.5087  0.11
Br9 0.8258 0.8899 0.9913  0.11
Br10 0.8899 0.8258 0.4913  0.11
Br11 0.3914 0.9031 0.6597  0.09
Br12 0.5306 0.7109 0.1702  0.09
In1 0.6012 0.3988 0.2500  0.03
In2 0.3988 0.6012 0.7500  0.03
Fe1 0.2956 0.1250 0.7557  3.37
Fe2 0.1250 0.2956 0.2557  3.37
Fe3 0.8750 0.7044 0.7443  3.37
Fe4 0.7044 0.8750 0.2443  3.37
Rb1 0.8186 0.1814 0.7500  0.00
Rb2 0.1814 0.8186 0.2500  0.00